Record 1
TiTlV4: optimized geometry, PBE.

Cell and atoms, written as CIF:
```
data_TiTlV4
_cell_length_a 7.2064
_cell_length_b 7.2064
_cell_length_c 7.2064
_cell_angle_alpha 90.00
_cell_angle_beta 90.00
_cell_angle_gamma 90.00
_symmetry_space_group_name_H-M 'F -4 3 m'
_symmetry_Int_Tables_number 216
_symmetry_space_group_name_Hall 'F -4 2 3'
loop_
_atom_site_label
_atom_site_type_symbol
_atom_site_fract_x
_atom_site_fract_y
_atom_site_fract_z
Ti1 Ti 0.0000 0.0000 0.0000
Tl1 Tl 0.2500 0.2500 0.2500
V1 V 0.1288 0.1288 0.6288
```

V = 93.6 Å³/f.u.
ΔE_f = 0.19 eV/atom

---

Record 2
KZnSn3: optimized geometry, PBE.

Cell and atoms, written as CIF:
```
data_KZnSn3
_cell_length_a 6.0013
_cell_length_b 6.0013
_cell_length_c 6.0013
_cell_angle_alpha 90.00
_cell_angle_beta 90.00
_cell_angle_gamma 90.00
_symmetry_space_group_name_H-M 'P m -3 m'
_symmetry_Int_Tables_number 221
_symmetry_space_group_name_Hall '-P 4 2 3'
loop_
_atom_site_label
_atom_site_type_symbol
_atom_site_fract_x
_atom_site_fract_y
_atom_site_fract_z
K1 K 0.0000 0.0000 0.0000
Zn1 Zn 0.5000 0.5000 0.5000
Sn1 Sn 0.0000 0.0000 0.5000
```

V = 216.1 Å³/f.u.
ΔE_f = 1.20 eV/atom
ΔE to the lowest computed polymorph = 1344.0 meV/atom

---

Record 3
RbB3P: optimized geometry, PBE.

Cell and atoms, written as CIF:
```
data_RbB3P
_cell_length_a 4.8832
_cell_length_b 4.8832
_cell_length_c 4.8832
_cell_angle_alpha 90.00
_cell_angle_beta 90.00
_cell_angle_gamma 90.00
_symmetry_space_group_name_H-M 'P m -3 m'
_symmetry_Int_Tables_number 221
_symmetry_space_group_name_Hall '-P 4 2 3'
loop_
_atom_site_label
_atom_site_type_symbol
_atom_site_fract_x
_atom_site_fract_y
_atom_site_fract_z
Rb1 Rb 0.0000 0.0000 0.0000
B1 B 0.0000 0.0000 0.5000
P1 P 0.5000 0.5000 0.5000
```

V = 116.4 Å³/f.u.
ΔE_f = 3.63 eV/atom
ΔE to the lowest computed polymorph = 3616.7 meV/atom

---

Record 4
K14In2S9: optimized geometry, PBE.

Cell and atoms, written as CIF:
```
data_K14In2S9
_cell_length_a 8.9757
_cell_length_b 8.9757
_cell_length_c 12.5578
_cell_angle_alpha 90.00
_cell_angle_beta 90.00
_cell_angle_gamma 120.00
_symmetry_space_group_name_H-M 'P -3'
_symmetry_Int_Tables_number 147
_symmetry_space_group_name_Hall '-P 3'
loop_
_atom_site_label
_atom_site_type_symbol
_atom_site_fract_x
_atom_site_fract_y
_atom_site_fract_z
K1 K 0.0000 0.0000 0.2487
K2 K 0.0259 0.6718 0.4082
K3 K 0.0619 0.3778 0.0945
In1 In 0.3333 0.6667 0.7617
S1 S 0.0000 0.0000 0.5000
S2 S 0.0641 0.3654 0.8369
S3 S 0.3333 0.6667 0.5431
```

V = 876.2 Å³/f.u.
Formation energy (no corrections) = -971 meV per atom